[1]
Here is a relaxed structure of Pm9PrSn2 from Alexandria via LeMat-Bulk. Energies are from PBE.

Values from the calculation:
* symmetry: P4/mmm
* total magnetization: 0.00 μB per cell
* E_tot: -4.9042 eV/atom

abc: 4.9599 4.9599 15.3554
angles: 90.00 90.00 90.00
Fractional coordinates of all 12 atoms:
Pm 0.5000 0.0000 0.8215
Pm 0.0000 0.5000 0.5000
Pm 0.5000 0.0000 0.5000
Sn 0.0000 0.0000 0.6612
Pm 0.5000 0.0000 0.1785
Pr 0.0000 0.0000 0.0000
Pm 0.5000 0.5000 0.6587
Pm 0.0000 0.5000 0.1785
Pm 0.5000 0.5000 0.3413
Pm 0.0000 0.5000 0.8215
Sn 0.0000 0.0000 0.3388
Pm 0.5000 0.5000 0.0000

[2]
Here is a relaxed structure of Pm4Pr5Sn2 from Alexandria via LeMat-Bulk. Energies are from PBE.

Values from the calculation:
* symmetry: R-3m
* total magnetization: 0.01 μB per cell
* E_tot: -4.5450 eV/atom

abc: 5.3742 5.3742 16.0904
angles: 80.39 80.39 60.00
Fractional coordinates of all 11 atoms:
Pr 0.1955 0.1955 0.4134
Pm 0.4272 0.4272 0.7184
Pm 0.5728 0.5728 0.2816
Pm 0.7267 0.7267 0.8199
Sn 0.1188 0.1188 0.6437
Pr 0.5000 0.5000 0.5000
Pr 0.6475 0.6475 0.0574
Pr 0.8045 0.8045 0.5866
Pr 0.3525 0.3525 0.9426
Sn 0.8812 0.8812 0.3563
Pm 0.2733 0.2733 0.1801

[3]
Here is a relaxed structure of Pm3PrSn4 from Alexandria via LeMat-Bulk. Energies are from PBE.

Values from the calculation:
* symmetry: Pmmn
* total magnetization: 0.00 μB per cell
* E_tot: -4.9373 eV/atom

abc: 6.3845 6.3845 12.7426
angles: 90.00 90.00 90.00
Fractional coordinates of all 16 atoms:
Pm 0.5644 0.2500 0.7500
Pm 0.0644 0.7500 0.7500
Sn 0.0643 0.7490 0.5000
Pr 0.5642 0.7486 0.5000
Sn 0.5645 0.2485 0.5000
Sn 0.5645 0.7500 0.2484
Sn 0.0645 0.2500 0.2516
Sn 0.0645 0.2500 0.7484
Pm 0.0644 0.7500 0.2500
Pm 0.0645 0.2490 0.5000
Pr 0.0642 0.2514 0.0000
Sn 0.5643 0.2510 0.0000
Sn 0.0645 0.7515 0.0000
Pm 0.5644 0.2500 0.2500
Pm 0.5645 0.7510 0.0000
Sn 0.5645 0.7500 0.7516

[4]
Here is a relaxed structure of Pm6PrSn2 from Alexandria via LeMat-Bulk. Energies are from PBE.

Values from the calculation:
* symmetry: C2/m
* total magnetization: 0.00 μB per cell
* E_tot: -4.6021 eV/atom

abc: 5.4561 7.7877 7.7877
angles: 59.85 89.93 89.93
Fractional coordinates of all 9 atoms:
Pr 0.0000 0.0000 0.0000
Pm 0.2659 0.3895 0.8054
Pm 0.2659 0.8054 0.3895
Pm 0.7341 0.1946 0.6105
Sn 0.2308 0.3335 0.3335
Pm 0.7341 0.6105 0.1946
Pm 0.7351 0.1951 0.1951
Sn 0.7692 0.6665 0.6665
Pm 0.2649 0.8049 0.8049